Density functional theory data (PBE) for a relaxed FeReAu3 crystal.

- DOS at the Fermi energy: 0.881 states/eV/atom
- Mass density: 12.79 g/cm³
- Offset from the most stable computed form: 0 meV/atom
- Crystal system: cubic
- Total moment: 1.43 μB/atom

a b c (Å): 4.765 4.765 4.765
angles (deg): 90.00 90.00 90.00
Last column: magnetic moment on the atom in μB.
Fractional coordinates of all 5 atoms:
Re: 0.500 0.500 0.500  3.40
Au: 0.000 0.500 0.000  0.09
Au: 0.000 0.000 0.500  0.19
Au: 0.500 0.000 0.000  0.03
Fe: 0.000 0.000 0.000  2.81